(1)
This record from Alexandria describes a relaxed structure of Y2Fe2O7. The functional is GGA-PBEsol.

Cell lengths 9.783, 9.783, 9.783 Å; angles 90.00, 90.00, 90.00 degrees
Space group Fd-3m (No. 227, origin choice 2)
Symmetry-distinct sites (fractional):
Y (0.000, 0.000, 0.000) (multiplicity 16)
Fe (0.000, 0.000, 0.500) (multiplicity 16)
O (0.077, 0.375, 0.875) (multiplicity 48)
O (0.125, 0.125, 0.125) (multiplicity 8)

Properties
As for the uncorrected formation energy: -2.358 eV/atom.

(2)
This record from Alexandria describes a relaxed structure of FeOs5. The functional is GGA-PBEsol.

Cell lengths 9.706, 2.706, 6.299 Å; angles 90.00, 103.62, 90.00 degrees
Space group Cm (No. 8)
Symmetry-distinct sites (fractional):
Fe (0.000, 0.000, 0.000) (multiplicity 2)
Os (0.056, 0.000, 0.616) (multiplicity 2)
Os (0.166, 0.500, 0.331) (multiplicity 2)
Os (0.221, 0.500, 0.946) (multiplicity 2)
Os (0.336, 0.000, 0.671) (multiplicity 2)
Os (0.391, 0.000, 0.272) (multiplicity 2)

Properties
The calculation puts the formation enthalpy at 0 K at 0.88 kcal/mol of atoms.